# 1
VASP calculation (GGA-PBEsol) on crystalline Cd3In at its relaxed geometry.

Lattice parameters (Å, degrees): 10.5035 3.0706 5.5236 90.00 101.07 90.00
Space group C2/m (No. 12)
Asymmetric unit:
Cd 0.0000 0.0000 0.0000 (multiplicity 2)
Cd 0.2450 0.5000 0.2445 (multiplicity 4)
In 0.0000 0.5000 0.5000 (multiplicity 2)

Results
ΔE_f = 1.91 kJ/mol of atoms
D(E_F) = 0.3112 states/eV per atom
Crystal system = monoclinic
Electronic total energy = -1.6236 eV/atom

---

# 2
VASP calculation (GGA-PBEsol) on crystalline Cd3In at its relaxed geometry.

Lattice parameters (Å, degrees): 10.0573 10.0573 3.0943 90.00 90.00 120.00
Space group R-3m (No. 166, hexagonal axes)
Asymmetric unit:
Cd 0.0000 0.5000 0.0000 (multiplicity 9)
In 0.0000 0.0000 0.0000 (multiplicity 3)

Results
ΔE_f = 7.88 kJ/mol of atoms
D(E_F) = 0.3658 states/eV per atom
Crystal system = trigonal
Electronic total energy = -1.5618 eV/atom

---

# 3
VASP calculation (GGA-PBEsol) on crystalline Cd4In5 at its relaxed geometry.

Lattice parameters (Å, degrees): 9.6209 9.6209 4.5262 90.00 90.00 90.00
Space group I4/mmm (No. 139)
Asymmetric unit:
Cd 0.0000 0.3411 0.0000 (multiplicity 8)
In 0.0000 0.0000 0.0000 (multiplicity 2)
In 0.1685 0.1685 0.5000 (multiplicity 8)

Results
ΔE_f = 2.48 kJ/mol of atoms
D(E_F) = 0.4195 states/eV per atom
Crystal system = tetragonal
Electronic total energy = -2.1634 eV/atom

---

# 4
VASP calculation (GGA-PBEsol) on crystalline Cd5In3 at its relaxed geometry.

Lattice parameters (Å, degrees): 5.7765 14.2232 18.0934 90.00 90.00 90.00
Space group Fmmm (No. 69)
Asymmetric unit:
Cd 0.0000 0.1060 0.1488 (multiplicity 16)
Cd 0.0000 0.1537 0.4018 (multiplicity 16)
Cd 0.2449 0.0000 0.5000 (multiplicity 8)
In 0.0000 0.0000 0.2955 (multiplicity 8)
In 0.0000 0.1856 0.0000 (multiplicity 8)
In 0.2500 0.2500 0.2500 (multiplicity 8)

Results
ΔE_f = 6.61 kJ/mol of atoms
D(E_F) = 0.3708 states/eV per atom
Crystal system = orthorhombic
Electronic total energy = -1.7982 eV/atom

---

# 5
VASP calculation (GGA-PBEsol) on crystalline CdIn2 at its relaxed geometry.

Lattice parameters (Å, degrees): 5.0794 5.0794 3.2754 90.00 90.00 120.00
Space group P-3m1 (No. 164)
Asymmetric unit:
Cd 0.0000 0.0000 0.0000 (multiplicity 1)
In 0.3333 0.6667 0.2888 (multiplicity 2)

Results
ΔE_f = 5.06 kJ/mol of atoms
D(E_F) = 0.4846 states/eV per atom
Crystal system = trigonal
Electronic total energy = -2.3351 eV/atom

---

# 6
VASP calculation (GGA-PBEsol) on crystalline Cd8In at its relaxed geometry.

Lattice parameters (Å, degrees): 9.3434 9.3434 4.3926 90.00 90.00 90.00
Space group I4/mmm (No. 139)
Asymmetric unit:
Cd 0.0000 0.3361 0.0000 (multiplicity 8)
Cd 0.1696 0.1696 0.5000 (multiplicity 8)
In 0.0000 0.0000 0.0000 (multiplicity 2)

Results
ΔE_f = 1.37 kJ/mol of atoms
D(E_F) = 0.3425 states/eV per atom
Crystal system = tetragonal
Electronic total energy = -1.3812 eV/atom

---

# 7
VASP calculation (GGA-PBEsol) on crystalline CdIn3 at its relaxed geometry.

Lattice parameters (Å, degrees): 10.2351 10.2351 3.2620 90.00 90.00 120.00
Space group R-3m (No. 166, hexagonal axes)
Asymmetric unit:
Cd 0.0000 0.0000 0.0000 (multiplicity 3)
In 0.0000 0.5000 0.0000 (multiplicity 9)

Results
ΔE_f = 4.47 kJ/mol of atoms
D(E_F) = 0.4242 states/eV per atom
Crystal system = trigonal
Electronic total energy = -2.4901 eV/atom

---

# 8
VASP calculation (GGA-PBEsol) on crystalline Cd3In at its relaxed geometry.

Lattice parameters (Å, degrees): 4.4328 4.4328 4.4328 90.00 90.00 90.00
Space group Pm-3m (No. 221)
Asymmetric unit:
Cd 0.0000 0.0000 0.5000 (multiplicity 3)
In 0.5000 0.5000 0.5000 (multiplicity 1)

Results
ΔE_f = 2.05 kJ/mol of atoms
D(E_F) = 0.2357 states/eV per atom
Crystal system = cubic
Electronic total energy = -1.6222 eV/atom

---

# 9
VASP calculation (GGA-PBEsol) on crystalline Cd7In at its relaxed geometry.

Lattice parameters (Å, degrees): 8.8095 8.8095 8.8095 90.00 90.00 90.00
Space group Fm-3m (No. 225)
Asymmetric unit:
Cd 0.0000 0.0000 0.0000 (multiplicity 4)
Cd 0.0000 0.2500 0.2500 (multiplicity 24)
In 0.0000 0.0000 0.5000 (multiplicity 4)

Results
ΔE_f = 1.87 kJ/mol of atoms
D(E_F) = 0.4370 states/eV per atom
Crystal system = cubic
Electronic total energy = -1.4009 eV/atom

---

# 10
VASP calculation (GGA-PBEsol) on crystalline CdIn3 at its relaxed geometry.

Lattice parameters (Å, degrees): 3.1103 5.2861 6.0398 90.00 96.76 90.00
Space group P2/m (No. 10)
Asymmetric unit:
Cd 0.0000 0.0000 0.0000 (multiplicity 1)
In 0.1948 0.5000 0.7545 (multiplicity 2)
In 0.5000 0.0000 0.5000 (multiplicity 1)

Results
ΔE_f = 4.13 kJ/mol of atoms
D(E_F) = 0.4062 states/eV per atom
Crystal system = monoclinic
Electronic total energy = -2.4936 eV/atom

---

# 11
VASP calculation (GGA-PBEsol) on crystalline Cd3In at its relaxed geometry.

Lattice parameters (Å, degrees): 5.5661 6.3462 5.0427 90.00 90.00 90.00
Space group Pmmn (No. 59, origin choice 2)
Asymmetric unit:
Cd 0.2500 0.0062 0.1464 (multiplicity 4)
Cd 0.2500 0.2500 0.6500 (multiplicity 2)
In 0.2500 0.7500 0.6472 (multiplicity 2)

Results
ΔE_f = 4.16 kJ/mol of atoms
D(E_F) = 0.3772 states/eV per atom
Crystal system = orthorhombic
Electronic total energy = -1.6004 eV/atom

---

# 12
VASP calculation (GGA-PBEsol) on crystalline Cd4In at its relaxed geometry.

Lattice parameters (Å, degrees): 7.0116 7.0116 4.4039 90.00 90.00 90.00
Space group I4/m (No. 87)
Asymmetric unit:
Cd 0.0965 0.3026 0.0000 (multiplicity 8)
In 0.0000 0.0000 0.5000 (multiplicity 2)

Results
ΔE_f = 1.74 kJ/mol of atoms
D(E_F) = 0.3440 states/eV per atom
Crystal system = tetragonal
Electronic total energy = -1.5361 eV/atom

---

Computed volume (Å³/cell) in order:
175 271 419 1487 73 383 296 87 684 99 178 217